Density functional theory data (PBE-GGA) for a geometry-optimized FeAs2Os structure.

Output
calculated formation energy	0.267	eV/atom
energy above the most stable polymorph in this dataset	0.157	eV/atom
space group	No. 123
raw total energy	-6.981	eV/atom
theoretical density	11.7	g cm⁻³
D(E_F)	0.72	states/eV per atom

a = 3.038 Å, b = 3.038 Å, c = 6.063 Å
α = 90.00°, β = 90.00°, γ = 90.00°
Site moments in Bohr magnetons follow the coordinates.
Atoms (fractional coordinates):
As 0.000 0.000 0.488  -0.02
As 0.000 0.000 0.012  -0.02
Os 0.500 0.500 0.750  -0.10
Fe 0.500 0.500 0.250  1.56

Density functional theory data (PBE-GGA) for a geometry-optimized CaNiMo2 structure.

Output
calculated formation energy	0.407	eV/atom
energy above the most stable polymorph in this dataset	0.083	eV/atom
space group	No. 35
raw total energy	-6.954	eV/atom
theoretical density	7.1	g cm⁻³
D(E_F)	0.84	states/eV per atom

a = 2.828 Å, b = 2.828 Å, c = 8.829 Å
α = 90.00°, β = 90.00°, γ = 105.23°
Atoms (fractional coordinates):
Mo 0.000 0.000 0.033
Mo 0.500 0.500 0.267
Ni 0.000 0.000 0.471
Ca 0.500 0.500 0.729

Density functional theory data (PBE-GGA) for a geometry-optimized NdAg3S3 structure.

Output
space group	No. 148
raw total energy	-4.414	eV/atom
theoretical density	5.9	g cm⁻³
formation energy (no corrections)	-742	meV per atom

a = 7.348 Å, b = 7.348 Å, c = 7.999 Å
α = 62.66°, β = 62.66°, γ = 60.00°
Atoms (fractional coordinates):
S 0.925 0.268 0.230
S 0.424 0.075 0.770
S 0.075 0.732 0.770
S 0.576 0.925 0.230
S 0.732 0.424 0.770
S 0.268 0.576 0.230
Nd 0.666 0.666 0.002
Nd 0.334 0.334 0.998
Ag 0.877 0.554 0.366
Ag 0.123 0.446 0.634
Ag 0.554 0.204 0.366
Ag 0.204 0.877 0.366
Ag 0.796 0.123 0.634
Ag 0.446 0.796 0.634

Density functional theory data (PBE-GGA) for a geometry-optimized Rb2NpAg2O6 structure.

Output
space group	No. 12
raw total energy	-6.100	eV/atom
theoretical density	5.7	g cm⁻³
formation energy (no corrections)	-1525	meV per atom
D(E_F)	0.44	states/eV per atom

a = 5.864 Å, b = 5.864 Å, c = 7.241 Å
α = 104.77°, β = 104.77°, γ = 109.62°
Site moments in Bohr magnetons follow the coordinates.
Atoms (fractional coordinates):
Np 0.000 0.000 0.500  -0.08
O 0.978 0.685 0.296  0.08
O 0.685 0.978 0.296  0.08
O 0.315 0.022 0.704  0.08
O 0.022 0.315 0.704  0.08
O 0.771 0.771 0.637  0.11
O 0.229 0.229 0.363  0.11
Ag 0.661 0.339 0.500  0.15
Ag 0.339 0.661 0.500  0.15
Rb 0.813 0.187 0.000  0.00
Rb 0.187 0.813 0.000  0.00